Here is SmGdC2I2 after structural relaxation from OQMD. Energies are from PBE-GGA.

Unit cell a=7.428 b=3.968 c=11.420 alpha=90.00 beta=93.22 gamma=90.00
Space group Cm (No. 8)
Symmetry-distinct sites (fractional):
Sm: 0.000 0.000 0.000 (multiplicity 2)
Gd: 0.209 0.500 0.753 (multiplicity 2)
C: 0.279 0.000 0.901 (multiplicity 2)
C: 0.432 0.000 0.847 (multiplicity 2)
I: 0.032 0.000 0.568 (multiplicity 2)
I: 0.180 0.500 0.188 (multiplicity 2)

Output
**Final energy**: -6.010 eV per atom

Here is BeCoHgAs after structural relaxation from OQMD. Energies are from PBE-GGA.

Unit cell a=6.165 b=6.165 c=6.165 alpha=90.00 beta=90.00 gamma=90.00
Space group F-43m (No. 216)
Symmetry-distinct sites (fractional):
Be: 0.000 0.000 0.000 (multiplicity 4)
Co: 0.000 0.000 0.500 (multiplicity 4)
Hg: 0.250 0.250 0.250 (multiplicity 4)
As: 0.250 0.250 0.750 (multiplicity 4)

Output
**Polymorph energy (0 for the lowest one)**: 0 meV per atom

Here is PrHoTh after structural relaxation from OQMD. Energies are from PBE-GGA.

Unit cell a=7.724 b=7.724 c=7.724 alpha=90.00 beta=90.00 gamma=90.00
Space group F-43m (No. 216)
Symmetry-distinct sites (fractional):
Pr: 0.000 0.000 0.000 (multiplicity 4)
Ho: 0.250 0.250 0.250 (multiplicity 4)
Th: 0.000 0.000 0.500 (multiplicity 4)

Output
**Polymorph energy (0 for the lowest one)**: 0 meV per atom